This record from the Alexandria database describes a crystal of SiTeIr2 relaxed with PBEsol. The functional is SCAN.

The structure in extended XYZ format:
```
8
Lattice="7.1151 0.0000 0.0000 0.0000 2.9772 0.0000 -1.0832 0.0000 6.3330" Properties=species:S:1:pos:R:3 pbc="T T T"
Si 0.0000 0.0000 0.0000
Si 3.5575 1.4886 0.0000
Te -0.5416 1.4886 3.1665
Te 3.0160 0.0000 3.1665
Ir 1.4637 1.4886 1.1990
Ir 1.0107 0.0000 5.1339
Ir 5.0212 0.0000 1.1990
Ir 4.5682 1.4886 5.1339
```

The space group is C2/m (12). The calculation puts the energy relative to the lowest polymorph listed for this composition at 0.74 eV per formula unit. The uncorrected formation energy comes out at -42 kJ/mol of formula units. The calculation puts the uncorrected energy at -379.80 eV per cell.